[1]
Computed, not measured: Hf3MnPd after structural relaxation at the PBE level of DFT.

a = 4.731 Å, b = 4.731 Å, c = 4.731 Å
α = 90.00°, β = 90.00°, γ = 90.00°
Element x y z (fractional)
Mn 0.000 0.000 0.000
Hf 0.000 0.500 0.000
Hf 0.000 0.000 0.500
Hf 0.500 0.000 0.000
Pd 0.500 0.500 0.500

Properties
* space group: Pm-3m (221)
* energy of formation: 309 meV/atom
* polymorph energy (0 for the lowest one): 0.00 eV per formula unit

[2]
Computed, not measured: Sm2HoAgSe5 after structural relaxation at the PBE level of DFT.

a = 4.120 Å, b = 8.934 Å, c = 12.489 Å
α = 90.00°, β = 90.00°, γ = 103.33°
Element x y z (fractional)
Sm 0.875 0.749 0.804
Sm 0.110 0.220 0.685
Sm 0.125 0.251 0.304
Sm 0.890 0.780 0.185
Ho 0.804 0.609 0.509
Ho 0.196 0.391 0.009
Ag 0.557 0.114 0.960
Ag 0.443 0.886 0.460
Se 0.360 0.719 0.000
Se 0.694 0.389 0.844
Se 0.498 0.995 0.773
Se 0.286 0.572 0.668
Se 0.955 0.909 0.581
Se 0.640 0.281 0.500
Se 0.306 0.611 0.344
Se 0.502 0.005 0.273
Se 0.714 0.428 0.168
Se 0.045 0.091 0.081

Properties
* space group: Cmc2_1 (36)
* formation energy (no corrections): -1.52 eV per atom

[3]
Computed, not measured: La2Pr3Sc after structural relaxation at the PBE level of DFT.

a = 6.269 Å, b = 9.650 Å, c = 10.901 Å
α = 128.84°, β = 124.91°, γ = 77.68°
Element x y z (fractional)
La 0.536 0.886 0.087
La 0.464 0.114 0.913
La 0.215 0.881 0.419
La 0.785 0.119 0.581
Pr 0.040 0.361 0.078
Pr 0.960 0.639 0.922
Pr 0.710 0.376 0.419
Pr 0.290 0.624 0.581
Pr 0.628 0.626 0.254
Pr 0.372 0.374 0.746
Sc 0.121 0.126 0.245
Sc 0.879 0.874 0.755

Properties
* space group: P-1 (2)
* energy of formation: 39 meV/atom
* polymorph energy (0 for the lowest one): 0.00 eV per formula unit

[4]
Computed, not measured: RbTiI5 after structural relaxation at the PBE level of DFT.

a = 8.624 Å, b = 8.056 Å, c = 8.056 Å
α = 72.01°, β = 57.64°, γ = 57.64°
Element x y z (fractional)
Rb 0.000 0.668 0.332
Ti 0.500 0.478 0.522
I 0.781 0.202 0.237
I 0.500 0.757 0.243
I 0.219 0.763 0.798
I 0.761 0.332 0.668
I 0.239 0.332 0.668

Properties
* space group: Imm2 (44)
* formation energy (no corrections): -0.89 eV per atom

[5]
Computed, not measured: Ca2HoZrAs4 after structural relaxation at the PBE level of DFT.

a = 4.045 Å, b = 7.048 Å, c = 7.255 Å
α = 108.65°, β = 90.00°, γ = 90.00°
Element x y z (fractional)
Ca 0.500 0.000 0.500
Ca 0.000 0.500 0.500
Ho 0.500 0.500 0.000
Zr 0.000 0.000 0.000
As 0.500 0.233 0.228
As 0.500 0.767 0.772
As 0.000 0.245 0.767
As 0.000 0.755 0.233

Properties
* space group: P2/m (10)
* energy of formation: -1197 meV/atom

[6]
Computed, not measured: Dy3Ga4Au2 after structural relaxation at the PBE level of DFT.

a = 4.516 Å, b = 5.792 Å, c = 8.394 Å
α = 70.72°, β = 74.40°, γ = 67.06°
Element x y z (fractional)
Dy 0.326 0.692 0.656
Dy 0.000 0.000 0.000
Dy 0.674 0.308 0.344
Ga 0.258 0.408 0.076
Ga 0.742 0.592 0.924
Ga 0.026 0.312 0.636
Ga 0.974 0.688 0.364
Au 0.398 0.933 0.271
Au 0.602 0.067 0.729

Properties
* space group: C2/m (12)
* energy of formation: -756 meV/atom

[7]
Computed, not measured: Sr6Pd2PtN after structural relaxation at the PBE level of DFT.

a = 7.217 Å, b = 7.926 Å, c = 10.568 Å
α = 90.00°, β = 88.66°, γ = 90.00°
Element x y z (fractional)
Sr 0.301 0.668 0.058
Sr 0.801 0.832 0.558
Sr 0.699 0.332 0.942
Sr 0.199 0.168 0.442
Sr 0.339 0.704 0.436
Sr 0.839 0.796 0.936
Sr 0.661 0.296 0.564
Sr 0.161 0.204 0.064
Sr 0.873 0.543 0.232
Sr 0.373 0.957 0.732
Sr 0.127 0.457 0.768
Sr 0.627 0.043 0.268
Pd 0.037 0.903 0.255
Pd 0.537 0.597 0.755
Pd 0.963 0.097 0.745
Pd 0.463 0.403 0.245
Pt 0.500 0.000 0.000
Pt 0.000 0.500 0.500
N 0.500 0.000 0.500
N 0.000 0.500 0.000

Properties
* space group: P2_1/c (14)
* formation energy (no corrections): -0.54 eV per atom

[8]
Computed, not measured: PrMgGa4 after structural relaxation at the PBE level of DFT.

a = 5.596 Å, b = 5.596 Å, c = 5.596 Å
α = 60.00°, β = 60.00°, γ = 60.00°
Element x y z (fractional)
Pr 0.000 0.000 0.000
Mg 0.250 0.250 0.250
Ga 0.625 0.625 0.124
Ga 0.625 0.124 0.625
Ga 0.625 0.625 0.625
Ga 0.124 0.625 0.625

Properties
* space group: F-43m (216)
* energy of formation: -286 meV/atom
* polymorph energy (0 for the lowest one): 0.70 eV per formula unit

[9]
Computed, not measured: Ce6Bi3H2 after structural relaxation at the PBE level of DFT.

a = 4.699 Å, b = 4.699 Å, c = 13.772 Å
α = 99.82°, β = 99.82°, γ = 90.00°
Element x y z (fractional)
Ce 0.086 0.586 0.171
Ce 0.586 0.086 0.171
Ce 0.914 0.414 0.829
Ce 0.414 0.914 0.829
Ce 0.698 0.698 0.397
Ce 0.302 0.302 0.603
Bi 0.000 0.000 0.000
Bi 0.823 0.823 0.646
Bi 0.177 0.177 0.354
H 0.392 0.392 0.784
H 0.608 0.608 0.216

Properties
* space group: I4/mmm (139)
* electronic total energy: -59.4 eV per cell